# 1
PBE Ac2BeHPd6, optimized geometry; uncorrected energy = -5.306 eV/atom
1.0
5.983 -0.022 -0.029
-0.032 6.622 0.462
2.950 3.622 4.692
Pd Be Ac H
6 1 2 1
Direct
0.235 0.266 0.526
0.735 0.764 0.027
0.765 0.734 0.474
0.236 0.762 0.029
0.265 0.236 0.973
0.764 0.238 0.971
0.500 0.500 0.000
0.762 0.236 0.472
0.238 0.764 0.528
0.000 0.000 0.000


# 2
PBE TaCuOsPt, optimized geometry; calculated formation energy = -0.218 eV per atom
1.0
-1.001 0.815 -4.215
0.190 -3.245 -2.978
-3.715 -1.618 -1.736
Pt Ta Os Cu
1 1 1 1
Direct
0.250 0.250 0.250
0.000 0.000 0.000
0.750 0.750 0.750
0.500 0.500 0.500